(1)
Material: Sr3LiMg2
Method: DFT, PBE-GGA
State: optimized geometry

Unit cell a=4.1760 b=4.1760 c=12.7101 alpha=90.00 beta=90.00 gamma=90.00
Closest atoms and distances in Å follow each position.
Fractional positions:
Sr (0.0000, 0.0000, 0.0000)  8 Mg 3.64
Sr (0.0000, 0.0000, 0.3309)  4 Mg 3.61, 4 Li 3.65
Sr (0.0000, 0.0000, 0.6691)  4 Mg 3.61, 4 Li 3.65
Li (0.5000, 0.5000, 0.5000)  8 Sr 3.65
Mg (0.5000, 0.5000, 0.1671)  8 Sr 3.61-3.64
Mg (0.5000, 0.5000, 0.8329)  8 Sr 3.61-3.64

Values from the calculation:
The value obtained for the electronic total energy is -10.35 eV per cell.

***

(2)
Material: SrLi3Mg
Method: DFT, PBE-GGA
State: optimized geometry

Unit cell a=5.5967 b=5.5967 c=5.5967 alpha=90.00 beta=90.00 gamma=90.00
Closest atoms and distances in Å follow each position.
Fractional positions:
Sr (0.0000, 0.0000, 0.0000)  6 Li 2.80
Li (0.0000, 0.0000, 0.5000)  2 Sr 2.80
Li (0.0000, 0.5000, 0.0000)  2 Sr 2.80
Li (0.5000, 0.0000, 0.0000)  2 Sr 2.80
Mg (0.5000, 0.5000, 0.5000)  12 Li 3.96

Values from the calculation:
The value obtained for the electronic total energy is -4.76 eV per cell.

***

(3)
Material: SrLi2Mg
Method: DFT, PBE-GGA
State: optimized geometry

Unit cell a=10.5700 b=10.5700 c=10.5700 alpha=20.12 beta=20.12 gamma=20.12
Closest atoms and distances in Å follow each position.
Fractional positions:
Sr (0.0000, 0.0000, 0.0000)  6 Li 3.61, 6 Sr 3.69
Li (0.2397, 0.2397, 0.2397)  3 Mg 3.11
Li (0.7603, 0.7603, 0.7603)  3 Mg 3.11
Mg (0.5000, 0.5000, 0.5000)  6 Li 3.11

Values from the calculation:
The value obtained for the electronic total energy is -6.35 eV per cell.

***

(4)
Material: SrLi4Mg2
Method: DFT, PBE-GGA
State: optimized geometry

Unit cell a=6.5017 b=6.5017 c=6.5017 alpha=104.82 beta=104.82 gamma=119.25
Closest atoms and distances in Å follow each position.
Fractional positions:
Sr (0.0000, 0.0000, 0.0000)  8 Li 3.75
Li (0.2732, 0.5000, 0.7732)  2 Li 2.54, 2 Mg 2.72
Li (0.5000, 0.2732, 0.7732)  2 Li 2.54, 2 Mg 2.72
Li (0.5000, 0.7268, 0.2268)  2 Li 2.54, 2 Mg 2.72
Li (0.7268, 0.5000, 0.2268)  2 Li 2.54, 2 Mg 2.72
Mg (0.2500, 0.7500, 0.5000)  4 Li 2.72
Mg (0.7500, 0.2500, 0.5000)  4 Li 2.72

Values from the calculation:
The value obtained for the electronic total energy is -10.70 eV per cell.

***

(5)
Material: SrLi3Mg3
Method: DFT, PBE-GGA
State: optimized geometry

Unit cell a=7.4568 b=7.4568 c=7.4568 alpha=90.00 beta=90.00 gamma=90.00
Closest atoms and distances in Å follow each position.
Fractional positions:
Sr (0.0000, 0.0000, 0.0000)  12 Li 4.17, 12 Mg 4.17
Sr (0.5000, 0.5000, 0.5000)  12 Li 4.17, 12 Mg 4.17
Li (0.0000, 0.2500, 0.5000)  4 Mg 2.64
Li (0.0000, 0.7500, 0.5000)  4 Mg 2.64
Li (0.2500, 0.5000, 0.0000)  4 Mg 2.64
Li (0.5000, 0.0000, 0.2500)  4 Mg 2.64
Li (0.5000, 0.0000, 0.7500)  4 Mg 2.64
Li (0.7500, 0.5000, 0.0000)  4 Mg 2.64
Mg (0.0000, 0.5000, 0.2500)  4 Li 2.64
Mg (0.0000, 0.5000, 0.7500)  4 Li 2.64
Mg (0.2500, 0.0000, 0.5000)  4 Li 2.64
Mg (0.5000, 0.2500, 0.0000)  4 Li 2.64
Mg (0.5000, 0.7500, 0.0000)  4 Li 2.64
Mg (0.7500, 0.0000, 0.5000)  4 Li 2.64

Values from the calculation:
The value obtained for the electronic total energy is -20.18 eV per cell.

***

(6)
Material: Sr2LiMg
Method: DFT, PBE-GGA
State: optimized geometry

Unit cell a=3.9984 b=3.9984 c=9.1850 alpha=90.00 beta=90.00 gamma=90.00
Closest atoms and distances in Å follow each position.
Fractional positions:
Sr (0.0000, 0.0000, 0.0000)  1 Li 3.60, 4 Mg 3.66, 4 Sr 4.00
Sr (0.5000, 0.5000, 0.3518)  1 Mg 3.64, 4 Li 3.68, 4 Sr 4.00
Li (0.0000, 0.0000, 0.6079)  4 Mg 3.11
Mg (0.5000, 0.5000, 0.7477)  4 Li 3.11

Values from the calculation:
The value obtained for the electronic total energy is -6.92 eV per cell.

***

(7)
Material: Sr8LiMg2
Method: DFT, PBE-GGA
State: optimized geometry

Unit cell a=9.7468 b=9.7468 c=9.7981 alpha=118.08 beta=118.08 gamma=38.19
Closest atoms and distances in Å follow each position.
Fractional positions:
Sr (0.0546, 0.0546, 0.2237)  1 Mg 3.58, 3 Sr 3.80-3.91
Sr (0.1433, 0.1433, 0.7027)  3 Mg 3.65-3.91, 2 Li 3.98, 1 Sr 4.05
Sr (0.3213, 0.3213, 0.5492)  1 Li 3.56, 1 Mg 3.61, 4 Sr 3.91-3.93
Sr (0.3925, 0.3925, 0.0418)  3 Mg 3.69-3.70, 1 Li 3.90, 3 Sr 4.11-4.12
Sr (0.6075, 0.6075, 0.9582)  3 Mg 3.69-3.70, 1 Li 3.90, 3 Sr 4.11-4.12
Sr (0.6787, 0.6787, 0.4508)  1 Li 3.56, 1 Mg 3.61, 4 Sr 3.91-3.93
Sr (0.8567, 0.8567, 0.2973)  3 Mg 3.65-3.91, 2 Li 3.98, 1 Sr 4.05
Sr (0.9454, 0.9454, 0.7763)  1 Mg 3.58, 3 Sr 3.80-3.91
Li (0.5000, 0.5000, 0.5000)  8 Sr 3.56-3.98
Mg (0.2171, 0.2171, 0.1246)  8 Sr 3.58-3.91
Mg (0.7829, 0.7829, 0.8754)  8 Sr 3.58-3.91

Values from the calculation:
The value obtained for the electronic total energy is -18.30 eV per cell.

***

(8)
Material: Sr2Li15Mg2
Method: DFT, PBE-GGA
State: optimized geometry

Unit cell a=7.7655 b=7.7655 c=7.7655 alpha=83.34 beta=83.34 gamma=83.34
Closest atoms and distances in Å follow each position.
Fractional positions:
Sr (0.1524, 0.1524, 0.1524)  18 Li 3.67-4.02, 1 Mg 3.67
Sr (0.8476, 0.8476, 0.8476)  18 Li 3.67-4.02, 1 Mg 3.67
Li (0.0000, 0.5000, 0.5000)  8 Li 2.92-2.95, 2 Mg 3.13
Li (0.1539, 0.1539, 0.6402)  8 Li 2.95-3.17, 1 Mg 3.15
Li (0.1539, 0.6402, 0.1539)  8 Li 2.95-3.17, 1 Mg 3.15
Li (0.2186, 0.5000, 0.7814)  8 Li 2.91-3.17
Li (0.2186, 0.7814, 0.5000)  8 Li 2.91-3.17
Li (0.3598, 0.8461, 0.8461)  8 Li 2.95-3.17, 1 Mg 3.15
Li (0.5000, 0.0000, 0.5000)  8 Li 2.92-2.95, 2 Mg 3.13
Li (0.5000, 0.2186, 0.7814)  8 Li 2.91-3.17
Li (0.5000, 0.5000, 0.0000)  8 Li 2.92-2.95, 2 Mg 3.13
Li (0.5000, 0.7814, 0.2186)  8 Li 2.91-3.17
Li (0.6402, 0.1539, 0.1539)  8 Li 2.95-3.17, 1 Mg 3.15
Li (0.7814, 0.2186, 0.5000)  8 Li 2.91-3.17
Li (0.7814, 0.5000, 0.2186)  8 Li 2.91-3.17
Li (0.8461, 0.3598, 0.8461)  8 Li 2.95-3.17, 1 Mg 3.15
Li (0.8461, 0.8461, 0.3598)  8 Li 2.95-3.17, 1 Mg 3.15
Mg (0.3981, 0.3981, 0.3981)  1 Mg 3.04, 12 Li 3.13-3.28
Mg (0.6019, 0.6019, 0.6019)  1 Mg 3.04, 12 Li 3.13-3.28

Values from the calculation:
The value obtained for the electronic total energy is -35.36 eV per cell.

***

(9)
Material: SrLi2Mg10
Method: DFT, PBE-GGA
State: optimized geometry

Unit cell a=10.5062 b=8.0031 c=7.9229 alpha=82.55 beta=49.05 gamma=48.40
Closest atoms and distances in Å follow each position.
Fractional positions:
Sr (0.0000, 0.0000, 0.0000)  16 Mg 3.68-3.96, 4 Li 4.00
Li (0.0000, 0.5000, 0.0000)  2 Li 2.87, 8 Mg 2.95-3.14
Li (0.5000, 0.0000, 0.5000)  2 Li 2.87, 8 Mg 2.95-3.14
Mg (0.0000, 0.0000, 0.5000)  6 Mg 2.87-3.07
Mg (0.0044, 0.3545, 0.6455)  7 Mg 3.06-3.37, 2 Li 3.14
Mg (0.2800, 0.4933, 0.5067)  2 Li 2.95, 6 Mg 3.07-3.26
Mg (0.3545, 0.0044, 0.9956)  7 Mg 3.06-3.37, 2 Li 3.14
Mg (0.4933, 0.2800, 0.7200)  2 Li 2.95, 6 Mg 3.07-3.26
Mg (0.5000, 0.5000, 0.0000)  6 Mg 2.87-3.07
Mg (0.5067, 0.7200, 0.2800)  2 Li 2.95, 6 Mg 3.07-3.26
Mg (0.6455, 0.9956, 0.0044)  7 Mg 3.06-3.37, 2 Li 3.14
Mg (0.7200, 0.5067, 0.4933)  2 Li 2.95, 6 Mg 3.07-3.26
Mg (0.9956, 0.6455, 0.3545)  7 Mg 3.06-3.37, 2 Li 3.14

Values from the calculation:
The value obtained for the electronic total energy is -22.01 eV per cell.

***

(10)
Material: SrLiMg11
Method: DFT, PBE-GGA
State: optimized geometry

Unit cell a=7.9552 b=7.9552 c=7.9139 alpha=97.32 beta=97.32 gamma=136.87
Closest atoms and distances in Å follow each position.
Fractional positions:
Sr (0.0000, 0.0000, 0.0000)  18 Mg 3.71-3.98, 2 Li 4.02
Li (0.5000, 0.5000, 0.5000)  10 Mg 2.92-3.21
Mg (0.0000, 0.0000, 0.5000)  2 Li 2.92, 8 Mg 3.04-3.15
Mg (0.0000, 0.5000, 0.0000)  10 Mg 2.92-3.22
Mg (0.0060, 0.6521, 0.6437)  8 Mg 3.04-3.33, 1 Li 3.21
Mg (0.2892, 0.5055, 0.7772)  1 Li 2.94, 7 Mg 3.04-3.29
Mg (0.3479, 0.9940, 0.3563)  8 Mg 3.04-3.33, 1 Li 3.21
Mg (0.4945, 0.7108, 0.2228)  1 Li 2.94, 7 Mg 3.04-3.29
Mg (0.5000, 0.0000, 0.0000)  10 Mg 2.92-3.22
Mg (0.5055, 0.2892, 0.7772)  1 Li 2.94, 7 Mg 3.04-3.29
Mg (0.6521, 0.0060, 0.6437)  8 Mg 3.04-3.33, 1 Li 3.21
Mg (0.7108, 0.4945, 0.2228)  1 Li 2.94, 7 Mg 3.04-3.29
Mg (0.9940, 0.3479, 0.3563)  8 Mg 3.04-3.33, 1 Li 3.21

Values from the calculation:
The value obtained for the electronic total energy is -21.65 eV per cell.

***

(11)
Material: SrLi2Mg
Method: DFT, PBE-GGA
State: optimized geometry

Unit cell a=6.3459 b=6.3459 c=3.6178 alpha=102.94 beta=102.94 gamma=114.25
Closest atoms and distances in Å follow each position.
Fractional positions:
Sr (0.0000, 0.0000, 0.0000)  4 Li 3.28, 2 Mg 3.44, 2 Sr 3.62
Li (0.0000, 0.5000, 0.5000)  2 Mg 3.28, 2 Sr 3.28, 4 Li 3.44-3.62
Li (0.5000, 0.0000, 0.5000)  2 Mg 3.28, 2 Sr 3.28, 4 Li 3.44-3.62
Mg (0.5000, 0.5000, 0.0000)  4 Li 3.28, 2 Sr 3.44, 2 Mg 3.62

Values from the calculation:
The value obtained for the electronic total energy is -6.55 eV per cell.